No. 1
Here is crystalline ScCdNO2 at its relaxed geometry from the Alexandria database. Energies are from PBE.

a b c (Å): 4.0744 4.0744 4.2684
angles (deg): 90.00 90.00 90.00
Closest atoms and distances in Å follow each position.
Element x y z (fractional)
Sc 0.0000 0.0000 0.0000  4 O 2.04, 2 N 2.13
N 0.0000 0.0000 0.5000  2 Sc 2.13
O 0.0000 0.5000 0.0000  2 Sc 2.04
O 0.5000 0.0000 0.0000  2 Sc 2.04
Cd 0.5000 0.5000 0.5000  4 N 2.88, 8 O 2.95

## Properties
V (A^3/atom): 14.17
Raw formation energy (eV per atom): -0.79
Symmetry: P4/mmm, No. 123
Calculated total energy (hartree per atom): -0.21620

=====

No. 2
Here is crystalline ScCdNO2 at its relaxed geometry from the Alexandria database. Energies are from PBE.

a b c (Å): 4.0355 4.0355 4.1471
angles (deg): 90.00 90.00 90.00
Closest atoms and distances in Å follow each position.
Element x y z (fractional)
Sc 0.5000 0.5000 0.5000  4 N 2.85, 8 O 2.89
N 0.0000 0.0000 0.5000  2 Cd 2.07
O 0.0000 0.5000 0.0000  2 Cd 2.02
O 0.5000 0.0000 0.0000  2 Cd 2.02
Cd 0.0000 0.0000 0.0000  4 O 2.02, 2 N 2.07

## Properties
V (A^3/atom): 13.51
Raw formation energy (eV per atom): -0.08
Symmetry: P4/mmm, No. 123
Calculated total energy (hartree per atom): -0.19009

=====

No. 3
Here is crystalline CdSe2NO at its relaxed geometry from the Alexandria database. Energies are from PBE.

a b c (Å): 5.3798 5.3798 4.2777
angles (deg): 90.00 90.00 90.00
Closest atoms and distances in Å follow each position.
Element x y z (fractional)
N 0.0000 0.0000 0.5000  2 Cd 2.14
O 0.5000 0.5000 0.5000  8 Se 3.44, 4 N 3.80
Se 0.0000 0.5000 0.0000  2 Cd 2.69
Se 0.5000 0.0000 0.0000  2 Cd 2.69
Cd 0.0000 0.0000 0.0000  2 N 2.14

## Properties
V (A^3/atom): 24.76
Raw formation energy (eV per atom): 1.68
Symmetry: P4/mmm, No. 123
Energy relative to the lowest polymorph listed for this composition (meV per atom): 578
Calculated total energy (hartree per atom): -0.09397